Here is a relaxed structure of MgTi2Zn from Alexandria via LeMat-Bulk. Energies are from PBE.

Cell and atoms, written as POSCAR:
```
MgTi2Zn
1.0
4.190 0.000 0.000
0.000 4.047 0.000
0.000 0.000 4.047
Ti Zn Mg
2 1 1
direct
0.000 0.000 0.500
0.000 0.500 0.000
0.500 0.000 0.000
0.500 0.500 0.500
```

Calculated values
The energy above the most stable polymorph in this dataset is 0 meV/atom. The symmetry is P4/mmm. The total energy is -4.650 eV per atom.